1.
Computed, not measured: CdCo2 at its PBEsol-relaxed geometry at the meta-GGA SCAN level of DFT.

Values from the calculation:
* raw total energy: -21.3687 eV/atom
* ΔE_f: 0.306 eV per atom
* spin magnetization: 14.57 μB/cell

```
data_CdCo2
_cell_length_a 3.5487
_cell_length_b 11.6982
_cell_length_c 3.8932
_cell_angle_alpha 90.00
_cell_angle_beta 90.00
_cell_angle_gamma 90.00
_symmetry_space_group_name_H-M 'C m c m'
_symmetry_Int_Tables_number 63
_symmetry_space_group_name_Hall '-C 2c 2'
loop_
_atom_site_label
_atom_site_type_symbol
_atom_site_fract_x
_atom_site_fract_y
_atom_site_fract_z
_atom_site_occupancy
Cd1 Cd 0.0000 0.0826 0.2500 1
Co1 Co 0.0000 0.2489 0.7500 1
Co2 Co 0.0000 0.3804 0.2500 1
```

2.
Computed, not measured: Cd2Co at its PBEsol-relaxed geometry at the meta-GGA SCAN level of DFT.

Values from the calculation:
* raw total energy: -25.7942 eV/atom
* ΔE_f: 0.250 eV per atom
* spin magnetization: 6.46 μB/cell

```
data_Cd2Co
_cell_length_a 2.8664
_cell_length_b 2.8664
_cell_length_c 24.7183
_cell_angle_alpha 90.00
_cell_angle_beta 90.00
_cell_angle_gamma 90.00
_symmetry_space_group_name_H-M 'I 41/a m d'
_symmetry_Int_Tables_number 141
loop_
_symmetry_equiv_pos_as_xyz
'x,y,z'
'-x,-y,-z'
'-y+1/4,x+3/4,z+1/4'
'y+1/4,-x+3/4,-z+1/4'
'-x+1/2,-y,z+1/2'
'x+1/2,y,-z+1/2'
'y+1/4,-x+1/4,z+3/4'
'-y+1/4,x+1/4,-z+3/4'
'x,-y,-z'
'-x,y,z'
'-y+1/4,-x+1/4,-z+3/4'
'y+1/4,x+1/4,z+3/4'
'-x+1/2,y,-z+1/2'
'x+1/2,-y,z+1/2'
'y+1/4,x+3/4,-z+1/4'
'-y+1/4,-x+3/4,z+1/4'
'x+1/2,y+1/2,z+1/2'
'-x+1/2,-y+1/2,-z+1/2'
'-y+3/4,x+1/4,z+3/4'
'y+3/4,-x+1/4,-z+3/4'
'-x,-y+1/2,z'
'x,y+1/2,-z'
'y+3/4,-x+3/4,z+1/4'
'-y+3/4,x+3/4,-z+1/4'
'x+1/2,-y+1/2,-z+1/2'
'-x+1/2,y+1/2,z+1/2'
'-y+3/4,-x+3/4,-z+1/4'
'y+3/4,x+3/4,z+1/4'
'-x,y+1/2,-z'
'x,-y+1/2,z'
'y+3/4,x+1/4,-z+3/4'
'-y+3/4,-x+1/4,z+3/4'
loop_
_atom_site_label
_atom_site_type_symbol
_atom_site_fract_x
_atom_site_fract_y
_atom_site_fract_z
_atom_site_occupancy
Cd1 Cd 0.0000 0.2500 0.3034 1
Co1 Co 0.0000 0.2500 0.8750 1
```

- Look up the ΔE_f of the first one.
  0.306 eV per atom